Entry from Alexandria: a geometry-optimized B3HIr structure (PBE).

Calculated values
crystal system: cubic
energy above the lowest structure with this stoichiometry: 0 kJ/mol of formula units
calculated volume: 13.64 Å³/atom
total energy: -5.3512 eV per atom
total magnetization: 1.00 μB/f.u.

extended XYZ file:
```
5
Lattice="4.0856 0.0000 0.0000 0.0000 4.0856 0.0000 0.0000 0.0000 4.0856" Properties=species:S:1:pos:R:3 pbc="T T T"
B 0.0000 0.0000 2.0428
B 0.0000 2.0428 0.0000
B 2.0428 0.0000 0.0000
H 2.0428 2.0428 2.0428
Ir 0.0000 0.0000 0.0000
```